Entry from the Alexandria database: crystalline Ir2BrO2 at its relaxed geometry (GGA-PBE).

Cell: 9.085 9.085 2.624 Å, 90.00 90.00 90.00°
Sites, in units of the cell vectors:
Br1 0.500 0.500 0.000
Ir1 0.095 0.405 0.000
O1 0.296 0.796 0.500
Ir2 0.405 0.905 0.000
Ir3 0.905 0.595 0.000
O2 0.796 0.704 0.500
O3 0.204 0.296 0.500
Br2 0.000 0.000 0.000
Ir4 0.595 0.095 0.000
O4 0.704 0.204 0.500

Output
* space group: P4/mbm, No. 127
* calculated volume: 21.66 Å³/atom
* energy relative to the elements, uncorrected: 0.415 eV/atom
* excess energy over the best structure of this formula in the dataset: 0 meV per atom